(1)
! Dy8Tl2Ir3, optimized geometry, DFT PBE; values from VASP
&SYSTEM
  ibrav = 0, nat = 13, ntyp = 3
/
ATOMIC_SPECIES
Dy 162.50 Dy.upf
Tl 204.38 Tl.upf
Ir 192.22 Ir.upf
CELL_PARAMETERS angstrom
8.1454 -3.8152 0.0000
8.1454 3.8152 0.0000
-2.2194 0.0000 6.4198
ATOMIC_POSITIONS angstrom
Dy 0.5249 0.0000 2.6948
Dy 6.3647 1.8684 0.6150
Dy 7.7068 1.8684 5.8049
Dy 4.7303 0.0000 3.4257
Dy 9.3411 0.0000 2.9942
Dy 6.3647 -1.8684 0.6150
Dy 7.7068 -1.8684 5.8049
Dy 13.5465 0.0000 3.7250
Tl 2.1503 0.0000 5.4721
Tl 11.9211 0.0000 0.9477
Ir 0.0000 0.0000 0.0000
Ir 7.0357 1.5244 3.2099
Ir 7.0357 -1.5244 3.2099
! E above lowest polymorph   64 meV/atom
! Spin magnetization   0.000 Bohr magnetons per cell
! DFT formation energy   -0.435 eV per atom
! Energy   -5.676 eV/atom

(2)
! Dy4Tl5Ir2, optimized geometry, DFT PBE; values from VASP
&SYSTEM
  ibrav = 0, nat = 11, ntyp = 3
/
ATOMIC_SPECIES
Dy 162.50 Dy.upf
Tl 204.38 Tl.upf
Ir 192.22 Ir.upf
CELL_PARAMETERS angstrom
7.9370 0.0000 0.0000
0.0000 3.6508 0.0000
-0.7509 0.0000 9.7464
ATOMIC_POSITIONS angstrom
Dy 1.2415 0.0000 3.3041
Dy 0.9229 0.0000 9.1249
Dy 6.2631 0.0000 0.6215
Dy 5.9446 0.0000 6.4424
Tl 0.7443 1.8254 6.2076
Tl 3.5329 1.8254 1.6136
Tl 3.5930 1.8254 4.8732
Tl 3.6531 1.8254 8.1328
Tl 6.4418 1.8254 3.5388
Ir 0.5219 1.8254 1.3356
Ir 6.6642 1.8254 8.4108
! Spin magnetization   0.000 Bohr magnetons per cell
! DFT formation energy   -0.464 eV per atom
! Energy   -4.824 eV/atom

(3)
! Dy2TlIr, optimized geometry, DFT PBE; values from VASP
&SYSTEM
  ibrav = 0, nat = 4, ntyp = 3
/
ATOMIC_SPECIES
Dy 162.50 Dy.upf
Tl 204.38 Tl.upf
Ir 192.22 Ir.upf
CELL_PARAMETERS angstrom
2.0141 1.1628 7.9132
-2.0141 1.1628 7.9132
0.0000 -2.3256 7.9132
ATOMIC_POSITIONS angstrom
Dy 0.0000 0.0000 0.0000
Dy 0.0000 0.0000 4.9165
Tl 0.0000 0.0000 18.2696
Ir 0.0000 0.0000 14.3443
! E above lowest polymorph   86 meV/atom
! Spin magnetization   0.000 Bohr magnetons per cell
! DFT formation energy   -0.525 eV per atom
! Energy   -5.633 eV/atom

(4)
! DyTlIr, optimized geometry, DFT PBE; values from VASP
&SYSTEM
  ibrav = 0, nat = 12, ntyp = 3
/
ATOMIC_SPECIES
Dy 162.50 Dy.upf
Tl 204.38 Tl.upf
Ir 192.22 Ir.upf
CELL_PARAMETERS angstrom
7.1788 0.0000 0.0000
0.0000 4.2180 0.0000
0.0000 0.0000 8.7940
ATOMIC_POSITIONS angstrom
Dy 0.2743 1.0545 1.5489
Dy 3.3151 3.1635 5.9459
Dy 3.8637 1.0545 2.8481
Dy 6.9045 3.1635 7.2452
Tl 1.0541 1.0545 4.9507
Tl 2.5353 3.1635 0.5536
Tl 4.6435 1.0545 8.2404
Tl 6.1247 3.1635 3.8434
Ir 1.6926 1.0545 7.6484
Ir 1.8968 3.1635 3.2514
Ir 5.2820 1.0545 5.5427
Ir 5.4862 3.1635 1.1457
! Spin magnetization   0.000 Bohr magnetons per cell
! DFT formation energy   -0.458 eV per atom
! Energy   -5.734 eV/atom

(5)
! Dy5TlIr, optimized geometry, DFT PBE; values from VASP
&SYSTEM
  ibrav = 0, nat = 14, ntyp = 3
/
ATOMIC_SPECIES
Dy 162.50 Dy.upf
Tl 204.38 Tl.upf
Ir 192.22 Ir.upf
CELL_PARAMETERS angstrom
4.6620 -3.7615 0.0000
4.6620 3.7615 0.0000
-3.1727 0.0000 11.3137
ATOMIC_POSITIONS angstrom
Dy 2.2825 3.7444 8.4852
Dy 1.9382 1.2754 1.4140
Dy 2.1475 1.2579 4.9758
Dy 0.3519 -1.2754 7.0708
Dy 5.5902 1.2579 0.6810
Dy 0.5611 -1.2579 10.6327
Dy 5.7994 1.2754 4.2428
Dy 4.0038 -1.2579 6.3378
Dy 4.2131 -1.2754 9.8997
Dy 3.8688 -3.7444 2.8284
Tl 2.2825 0.6818 8.4852
Tl 3.8688 -0.6818 2.8284
Ir 0.0000 0.0000 0.0000
Ir -1.5863 0.0000 5.6568
! Spin magnetization   0.000 Bohr magnetons per cell
! DFT formation energy   -0.273 eV per atom
! Energy   -5.164 eV/atom

(6)
! Dy2Tl2Ir, optimized geometry, DFT PBE; values from VASP
&SYSTEM
  ibrav = 0, nat = 5, ntyp = 3
/
ATOMIC_SPECIES
Dy 162.50 Dy.upf
Tl 204.38 Tl.upf
Ir 192.22 Ir.upf
CELL_PARAMETERS angstrom
-1.7287 1.7287 10.6616
1.7287 -1.7287 10.6616
1.7287 1.7287 -10.6616
ATOMIC_POSITIONS angstrom
Dy 0.0000 0.0000 1.6429
Dy 0.0000 0.0000 19.6803
Tl 0.0000 0.0000 6.5109
Tl 0.0000 0.0000 14.8123
Ir 0.0000 0.0000 10.6616
! Spin magnetization   0.000 Bohr magnetons per cell
! DFT formation energy   -0.429 eV per atom
! Energy   -4.989 eV/atom

(7)
! Dy12Tl5Ir2, optimized geometry, DFT PBE; values from VASP
&SYSTEM
  ibrav = 0, nat = 19, ntyp = 3
/
ATOMIC_SPECIES
Dy 162.50 Dy.upf
Tl 204.38 Tl.upf
Ir 192.22 Ir.upf
CELL_PARAMETERS angstrom
8.4789 -3.8379 0.0000
8.4789 3.8379 0.0000
-2.5842 0.0000 9.3229
ATOMIC_POSITIONS angstrom
Dy -0.5686 0.0000 2.2339
Dy 3.3574 2.0053 8.4649
Dy 4.8400 1.9104 3.9866
Dy 9.5335 1.9104 5.3363
Dy 11.0162 2.0053 0.8580
Dy 7.8297 0.0000 1.6091
Dy 6.5439 0.0000 7.7138
Dy 3.3574 -2.0053 8.4649
Dy 4.8400 -1.9104 3.9866
Dy 9.5335 -1.9104 5.3363
Dy 11.0162 -2.0053 0.8580
Dy 14.9422 0.0000 7.0890
Tl 1.0616 0.0000 7.8129
Tl 2.4422 0.0000 3.3893
Tl 7.1868 0.0000 4.6614
Tl 11.9313 0.0000 5.9336
Tl 13.3120 0.0000 1.5100
Ir 8.4789 2.2036 0.0000
Ir 8.4789 -2.2036 0.0000
! Spin magnetization   0.000 Bohr magnetons per cell
! DFT formation energy   -0.239 eV per atom
! Energy   -4.701 eV/atom

(8)
! Dy2TlIr, optimized geometry, DFT PBE; values from VASP
&SYSTEM
  ibrav = 0, nat = 4, ntyp = 3
/
ATOMIC_SPECIES
Dy 162.50 Dy.upf
Tl 204.38 Tl.upf
Ir 192.22 Ir.upf
CELL_PARAMETERS angstrom
3.5234 0.0000 0.0000
0.0000 3.5234 0.0000
0.0000 0.0000 7.6821
ATOMIC_POSITIONS angstrom
Dy 0.0000 0.0000 1.6307
Dy 0.0000 0.0000 6.0513
Tl 1.7617 1.7617 3.8410
Ir 1.7617 1.7617 0.0000
! E above lowest polymorph   0 meV/atom
! Spin magnetization   0.000 Bohr magnetons per cell
! DFT formation energy   -0.611 eV per atom
! Energy   -5.719 eV/atom